A plane-wave DFT calculation with PBE was carried out for a geometry-optimized CsTaOs2 structure.

## Properties
- Distance to the lowest polymorph of the same formula: 0 meV per atom
- Total moment: 0.0 Bohr magnetons per cell
- Total energy: -0.2591 hartree per atom
- ΔH_f (0 K): 672 kJ/mol of formula units
- SG: No. 122

Cell: 6.1925 6.1925 6.1925 Å, 103.30 103.30 122.68°
With the nearest neighbours (Å) after each atom.
Sites, in units of the cell vectors:
Cs 0.0000 0.0000 0.0000  2 Ta 2.97, 8 Os 3.09-3.32
Cs 0.7500 0.2500 0.5000  2 Ta 2.97, 8 Os 3.09-3.32
Ta 0.2500 0.7500 0.5000  4 Os 2.57
Ta 0.5000 0.5000 0.0000  4 Os 2.57
Os 0.1748 0.6250 0.0498  2 Ta 2.57
Os 0.3750 0.4248 0.5498  2 Ta 2.57
Os 0.5752 0.1250 0.9502  2 Ta 2.57
Os 0.8750 0.8252 0.4502  2 Ta 2.57

=====

A plane-wave DFT calculation with PBE was carried out for a geometry-optimized MgS2Br structure.

## Properties
- Distance to the lowest polymorph of the same formula: 1051 meV per atom
- Total moment: 0.0 Bohr magnetons per cell
- Total energy: -0.0887 hartree per atom
- Energy relative to the elements, uncorrected: 0.467 eV per atom
- SG: No. 166

Cell: 13.2964 13.2964 13.2964 Å, 13.36 13.36 13.36°
With the nearest neighbours (Å) after each atom.
Sites, in units of the cell vectors:
Mg 0.0000 0.0000 0.0000  2 S 2.31
S 0.0585 0.0585 0.0585  1 Mg 2.31
S 0.9415 0.9415 0.9415  1 Mg 2.31
Br 0.5000 0.5000 0.5000  6 Br 3.09

=====

A plane-wave DFT calculation with PBE was carried out for a geometry-optimized ReNiBP structure.

## Properties
- Distance to the lowest polymorph of the same formula: 20 meV per atom
- Total moment: 0.0 Bohr magnetons per cell
- Total energy: -0.2841 hartree per atom
- ΔH_f (0 K): -59 kJ/mol of formula units
- SG: No. 38

Cell: 2.9721 5.9415 5.9415 Å, 28.48 90.00 90.00°
With the nearest neighbours (Å) after each atom.
Sites, in units of the cell vectors:
Re 0.0000 0.0000 0.0000  4 B 2.22, 2 P 2.39
Ni 0.5000 0.8046 0.8046  2 B 2.09, 2 P 2.19
B 0.5000 0.4344 0.4344  2 Ni 2.09, 4 Re 2.22
P 0.0000 0.6644 0.6644  2 Ni 2.19, 2 Re 2.39

=====

A plane-wave DFT calculation with PBE was carried out for a geometry-optimized CuSiBr2 structure.

## Properties
- Distance to the lowest polymorph of the same formula: 340 meV per atom
- Total moment: 0.0 Bohr magnetons per cell
- Total energy: -0.1093 hartree per atom
- Energy relative to the elements, uncorrected: 0.243 eV per atom
- SG: No. 99

Cell: 3.3309 3.3309 8.3542 Å, 90.00 90.00 90.00°
With the nearest neighbours (Å) after each atom.
Sites, in units of the cell vectors:
Cu 0.0000 0.0000 0.0000  4 Si 2.73, 4 Br 2.77
Si 0.5000 0.5000 0.1643  4 Cu 2.73, 5 Br 2.84-2.98
Br 0.0000 0.0000 0.3837  4 Si 2.98, 1 Cu 3.21, 4 Br 3.33
Br 0.5000 0.5000 0.8249  4 Cu 2.77, 1 Si 2.84

=====

A plane-wave DFT calculation with PBE was carried out for a geometry-optimized BeSnAs3 structure.

## Properties
- Distance to the lowest polymorph of the same formula: 1019 meV per atom
- Total moment: 0.0 Bohr magnetons per cell
- Total energy: -0.1070 hartree per atom
- ΔH_f (0 K): 687 kJ/mol of formula units
- SG: No. 221

Cell: 5.2364 5.2364 5.2364 Å, 90.00 90.00 90.00°
With the nearest neighbours (Å) after each atom.
Sites, in units of the cell vectors:
Be 0.0000 0.0000 0.0000  12 As 3.70
Sn 0.5000 0.5000 0.5000  6 As 2.62
As 0.0000 0.5000 0.5000  2 Sn 2.62
As 0.5000 0.0000 0.5000  2 Sn 2.62
As 0.5000 0.5000 0.0000  2 Sn 2.62

=====

A plane-wave DFT calculation with PBE was carried out for a geometry-optimized CrAsP structure.

## Properties
- Distance to the lowest polymorph of the same formula: 226 meV per atom
- Total moment: 0.9 Bohr magnetons per cell
- Total energy: -0.2400 hartree per atom
- ΔH_f (0 K): 9 kJ/mol of formula units
- SG: No. 107

Cell: 6.0928 6.0928 6.0928 Å, 152.48 152.48 39.31°
With the nearest neighbours (Å) after each atom.
Sites, in units of the cell vectors:
Cr 0.0000 0.0000 0.0000  4 P 2.38, 4 As 2.64
As 0.3547 0.3547 0.0000  4 Cr 2.64, 1 P 2.88, 4 As 2.90
P 0.6052 0.6052 0.0000  4 Cr 2.38

=====

A plane-wave DFT calculation with PBE was carried out for a geometry-optimized Mg2SiNi structure.

## Properties
- Total moment: 0.0 Bohr magnetons per cell
- Total energy: -0.1333 hartree per atom
- Energy relative to the elements, uncorrected: -0.028 eV per atom
- SG: No. 123

Cell: 2.9164 2.9164 7.3829 Å, 90.00 90.00 90.00°
With the nearest neighbours (Å) after each atom.
Sites, in units of the cell vectors:
Mg 0.0000 0.0000 0.2259  4 Ni 2.65, 4 Si 2.89, 4 Mg 2.92
Mg 0.0000 0.0000 0.7741  4 Ni 2.65, 4 Si 2.89, 4 Mg 2.92
Si 0.5000 0.5000 0.5000  8 Mg 2.89, 4 Si 2.92
Ni 0.5000 0.5000 0.0000  8 Mg 2.65, 4 Ni 2.92

=====

A plane-wave DFT calculation with PBE was carried out for a geometry-optimized Ho6GeTe3Pb2 structure.

## Properties
- Total moment: 0.0 Bohr magnetons per cell
- Total energy: -0.1862 hartree per atom
- Energy relative to the elements, uncorrected: -0.989 eV per atom
- SG: No. 12

Cell: 9.7536 9.7536 8.7714 Å, 103.06 103.06 25.62°
With the nearest neighbours (Å) after each atom.
Sites, in units of the cell vectors:
Ho 0.0014 0.0014 0.2254  2 Ge 2.93, 1 Pb 3.07, 3 Te 3.15-3.24
Ho 0.3328 0.3328 0.4222  3 Pb 3.05-3.07, 3 Te 3.09-3.12
Ho 0.3440 0.3440 0.9181  1 Ge 2.89, 2 Pb 3.05, 2 Te 3.11
Ho 0.6560 0.6560 0.0819  1 Ge 2.89, 2 Pb 3.05, 2 Te 3.11
Ho 0.6672 0.6672 0.5778  3 Pb 3.05-3.07, 3 Te 3.09-3.12
Ho 0.9986 0.9986 0.7746  2 Ge 2.93, 1 Pb 3.07, 3 Te 3.15-3.24
Ge 0.5000 0.5000 0.0000  6 Ho 2.89-2.93
Te 0.1684 0.1684 0.8344  6 Ho 3.11-3.25
Te 0.5000 0.5000 0.5000  6 Ho 3.09-3.24
Te 0.8316 0.8316 0.1656  6 Ho 3.11-3.25
Pb 0.1668 0.1668 0.3321  6 Ho 3.05-3.07
Pb 0.8332 0.8332 0.6679  6 Ho 3.05-3.07

=====

A plane-wave DFT calculation with PBE was carried out for a geometry-optimized K2Al2H structure.

## Properties
- Distance to the lowest polymorph of the same formula: 353 meV per atom
- Total moment: 0.0 Bohr magnetons per cell
- Total energy: -0.0778 hartree per atom
- SG: No. 127

Cell: 6.6192 6.6192 6.6761 Å, 90.00 90.00 90.00°
With the nearest neighbours (Å) after each atom.
Sites, in units of the cell vectors:
K 0.1829 0.3171 0.0000  2 H 2.42
K 0.3171 0.8171 0.0000  2 H 2.42
K 0.6829 0.1829 0.0000  2 H 2.42
K 0.8171 0.6829 0.0000  2 H 2.42
Al 0.1406 0.6406 0.5000  1 Al 2.63
Al 0.3594 0.1406 0.5000  1 Al 2.63
Al 0.6406 0.8594 0.5000  1 Al 2.63
Al 0.8594 0.3594 0.5000  1 Al 2.63
H 0.0000 0.0000 0.0000  4 K 2.42
H 0.5000 0.5000 0.0000  4 K 2.42

=====

A plane-wave DFT calculation with PBE was carried out for a geometry-optimized Rb3Pr3PuSe8 structure.

## Properties
- Total moment: 4.0 Bohr magnetons per cell
- Total energy: -0.2053 hartree per atom
- Energy relative to the elements, uncorrected: -1.624 eV per atom
- SG: No. 12

Cell: 8.6975 8.6975 9.5750 Å, 117.05 117.05 60.01°
With the nearest neighbours (Å) after each atom.
Sites, in units of the cell vectors:
Rb 0.0000 0.0000 0.0000  6 Se 3.49-3.51
Rb 0.0000 0.5000 0.0000  6 Se 3.49-3.51
Rb 0.5000 0.0000 0.0000  6 Se 3.49-3.51
Pr 0.0000 0.5000 0.5000  6 Se 3.00-3.01
Pr 0.5000 0.0000 0.5000  6 Se 3.00-3.01
Pr 0.5000 0.5000 0.5000  6 Se 3.00-3.01
Pu 0.0000 0.0000 0.5000  6 Se 2.87
Se 0.2234 0.2234 0.6922  1 Pu 2.87, 2 Pr 3.01
Se 0.2234 0.7456 0.6922  1 Pu 2.87, 2 Pr 3.01
Se 0.2544 0.7766 0.3078  1 Pu 2.87, 2 Pr 3.01
Se 0.2659 0.2659 0.2980  3 Pr 3.00
Se 0.7341 0.7341 0.7020  3 Pr 3.00
Se 0.7456 0.2234 0.6922  1 Pu 2.87, 2 Pr 3.01
Se 0.7766 0.2544 0.3078  1 Pu 2.87, 2 Pr 3.01
Se 0.7766 0.7766 0.3078  1 Pu 2.87, 2 Pr 3.01

=====

A plane-wave DFT calculation with PBE was carried out for a geometry-optimized Th12Hg6Os structure.

## Properties
- Total moment: 0.0 Bohr magnetons per cell
- Total energy: -0.1972 hartree per atom
- ΔH_f (0 K): 11 kJ/mol of formula units
- SG: No. 148

Cell: 8.1841 8.1841 8.1841 Å, 91.92 91.92 91.92°
With the nearest neighbours (Å) after each atom.
Sites, in units of the cell vectors:
Th 0.0293 0.9455 0.3060  4 Hg 3.26-3.38, 4 Th 3.32-3.40
Th 0.0545 0.6940 0.9707  4 Hg 3.26-3.38, 4 Th 3.32-3.40
Th 0.1471 0.4738 0.3681  1 Os 3.05, 3 Hg 3.19-3.39, 4 Th 3.32-3.40
Th 0.3060 0.0293 0.9455  4 Hg 3.26-3.38, 4 Th 3.32-3.40
Th 0.3681 0.1471 0.4738  1 Os 3.05, 3 Hg 3.19-3.39, 4 Th 3.32-3.40
Th 0.4738 0.3681 0.1471  1 Os 3.05, 3 Hg 3.19-3.39, 4 Th 3.32-3.40
Th 0.5262 0.6319 0.8529  1 Os 3.05, 3 Hg 3.19-3.39, 4 Th 3.32-3.40
Th 0.6319 0.8529 0.5262  1 Os 3.05, 3 Hg 3.19-3.39, 4 Th 3.32-3.40
Th 0.6940 0.9707 0.0545  4 Hg 3.26-3.38, 4 Th 3.32-3.40
Th 0.8529 0.5262 0.6319  1 Os 3.05, 3 Hg 3.19-3.39, 4 Th 3.32-3.40
Th 0.9455 0.3060 0.0293  4 Hg 3.26-3.38, 4 Th 3.32-3.40
Th 0.9707 0.0545 0.6940  4 Hg 3.26-3.38, 4 Th 3.32-3.40
Hg 0.2245 0.3834 0.7644  8 Th 3.19-3.45, 1 Os 3.32, 2 Hg 3.47
Hg 0.2356 0.7755 0.6166  8 Th 3.19-3.45, 1 Os 3.32, 2 Hg 3.47
Hg 0.3834 0.7644 0.2245  8 Th 3.19-3.45, 1 Os 3.32, 2 Hg 3.47
Hg 0.6166 0.2356 0.7755  8 Th 3.19-3.45, 1 Os 3.32, 2 Hg 3.47
Hg 0.7644 0.2245 0.3834  8 Th 3.19-3.45, 1 Os 3.32, 2 Hg 3.47
Hg 0.7755 0.6166 0.2356  8 Th 3.19-3.45, 1 Os 3.32, 2 Hg 3.47
Os 0.5000 0.5000 0.5000  6 Th 3.05, 6 Hg 3.32

=====

The lowest total energy belongs to which entry? ReNiBP

=====

total energy of number 10 (Rb3Pr3PuSe8)? -0.2053 hartree per atom